Record 1
DFT (PBE-GGA) results for a relaxed LiDyIn crystal.

Calculated values
Its total magnetization is 0.996 μB/cell. As for the volume: 28.7 Å³/atom. For the energy, the calculation gives -9.247 eV for the cell shown.

Lattice parameters (Å, degrees): 4.9557 4.9557 4.9557 60.00 60.00 60.00
Closest atoms and distances in Å follow each position.
Fractional coordinates of all 3 atoms:
1 Li 0.0000 0.0000 0.0000  4 In 3.03
2 Dy 0.5000 0.5000 0.5000  4 In 3.03
3 In 0.7500 0.7500 0.7500  4 Dy 3.03, 4 Li 3.03


Record 2
DFT (PBE-GGA) results for a relaxed DyLuIn5 crystal.

Calculated values
Its total magnetization is 0.005 μB/cell. As for the volume: 26.4 Å³/atom. For the energy, the calculation gives -24.826 eV for the cell shown.

Lattice parameters (Å, degrees): 4.6447 4.6447 8.5675 90.00 90.00 90.00
Closest atoms and distances in Å follow each position.
Fractional coordinates of all 7 atoms:
1 Dy 0.0000 0.0000 0.0000  12 In 3.26-3.28
2 Lu 0.0000 0.0000 0.5000  8 In 3.06
3 In 0.0000 0.5000 0.2678  2 Lu 3.06, 6 In 3.26-3.28, 2 Dy 3.26
4 In 0.0000 0.5000 0.7322  2 Lu 3.06, 6 In 3.26-3.28, 2 Dy 3.26
5 In 0.5000 0.0000 0.2678  2 Lu 3.06, 6 In 3.26-3.28, 2 Dy 3.26
6 In 0.5000 0.0000 0.7322  2 Lu 3.06, 6 In 3.26-3.28, 2 Dy 3.26
7 In 0.5000 0.5000 0.0000  8 In 3.26, 4 Dy 3.28


Record 3
DFT (PBE-GGA) results for a relaxed DyLuIn crystal.

Calculated values
The value obtained for the energy above the most stable polymorph in this dataset is 0 meV per atom. Its total magnetization is 0.025 μB/cell. As for the volume: 27.3 Å³/atom.

Lattice parameters (Å, degrees): 5.3284 5.3284 6.6686 90.00 90.00 120.00
Closest atoms and distances in Å follow each position.
Fractional coordinates of all 6 atoms:
1 Dy 0.0000 0.0000 0.0000  2 Dy 3.33, 6 In 3.50, 6 Lu 3.50
2 Dy 0.0000 0.0000 0.5000  2 Dy 3.33, 6 Lu 3.50, 6 In 3.50
3 Lu 0.3333 0.6667 0.2500  5 In 3.08-3.33
4 Lu 0.6667 0.3333 0.7500  5 In 3.08-3.33
5 In 0.3333 0.6667 0.7500  5 Lu 3.08-3.33
6 In 0.6667 0.3333 0.2500  5 Lu 3.08-3.33


Record 4
DFT (PBE-GGA) results for a relaxed DyLuIn crystal.

Calculated values
The value obtained for the energy above the most stable polymorph in this dataset is 3 meV per atom. Its total magnetization is 0.011 μB/cell. As for the volume: 27.3 Å³/atom.

Lattice parameters (Å, degrees): 5.3335 5.3335 6.6596 90.00 90.00 120.00
Closest atoms and distances in Å follow each position.
Fractional coordinates of all 6 atoms:
1 Dy 0.3333 0.6667 0.2500  5 In 3.08-3.33
2 Dy 0.6667 0.3333 0.7500  5 In 3.08-3.33
3 Lu 0.0000 0.0000 0.0000  2 Lu 3.33, 6 Dy 3.50, 6 In 3.50
4 Lu 0.0000 0.0000 0.5000  2 Lu 3.33, 6 In 3.50, 6 Dy 3.50
5 In 0.3333 0.6667 0.7500  5 Dy 3.08-3.33
6 In 0.6667 0.3333 0.2500  5 Dy 3.08-3.33


Record 5
DFT (PBE-GGA) results for a relaxed DyLuIn crystal.

Calculated values
The value obtained for the energy above the most stable polymorph in this dataset is 265 meV per atom. Its total magnetization is 0.016 μB/cell. As for the volume: 31.7 Å³/atom.

Lattice parameters (Å, degrees): 5.1217 5.1217 5.1217 60.00 60.00 60.00
Closest atoms and distances in Å follow each position.
Fractional coordinates of all 3 atoms:
1 Dy 0.0000 0.0000 0.0000  4 In 3.14
2 Lu 0.5000 0.5000 0.5000  4 In 3.14
3 In 0.2500 0.2500 0.2500  4 Dy 3.14, 4 Lu 3.14


Record 6
DFT (PBE-GGA) results for a relaxed DyLuIn4 crystal.

Calculated values
Its total magnetization is 0.007 μB/cell. As for the volume: 24.9 Å³/atom. For the energy, the calculation gives -22.500 eV for the cell shown.

Lattice parameters (Å, degrees): 4.6222 7.4062 7.4062 36.11 90.00 90.00
Closest atoms and distances in Å follow each position.
Fractional coordinates of all 6 atoms:
1 Dy 0.0000 0.0000 0.0000  10 In 3.19-3.33, 2 Lu 3.52
2 Lu 0.0000 0.6892 0.6892  10 In 3.16-3.31, 2 Dy 3.52
3 In 0.0000 0.3432 0.3432  2 Lu 3.16, 2 Dy 3.19, 8 In 3.26-3.41
4 In 0.5000 0.1699 0.1699  6 In 3.11-3.36, 4 Lu 3.27, 2 Dy 3.33
5 In 0.5000 0.5207 0.5207  6 In 3.11-3.41, 4 Dy 3.27, 2 Lu 3.31
6 In 0.5000 0.8427 0.8427  2 Lu 3.16, 2 Dy 3.20, 8 In 3.26-3.40


Copy entry 2 word for word.
DFT (PBE-GGA) results for a relaxed DyLuIn5 crystal.

Calculated values
Its total magnetization is 0.005 μB/cell. As for the volume: 26.4 Å³/atom. For the energy, the calculation gives -24.826 eV for the cell shown.

Lattice parameters (Å, degrees): 4.6447 4.6447 8.5675 90.00 90.00 90.00
Closest atoms and distances in Å follow each position.
Fractional coordinates of all 7 atoms:
1 Dy 0.0000 0.0000 0.0000  12 In 3.26-3.28
2 Lu 0.0000 0.0000 0.5000  8 In 3.06
3 In 0.0000 0.5000 0.2678  2 Lu 3.06, 6 In 3.26-3.28, 2 Dy 3.26
4 In 0.0000 0.5000 0.7322  2 Lu 3.06, 6 In 3.26-3.28, 2 Dy 3.26
5 In 0.5000 0.0000 0.2678  2 Lu 3.06, 6 In 3.26-3.28, 2 Dy 3.26
6 In 0.5000 0.0000 0.7322  2 Lu 3.06, 6 In 3.26-3.28, 2 Dy 3.26
7 In 0.5000 0.5000 0.0000  8 In 3.26, 4 Dy 3.28


Look up the volume of the sixth one.
24.9 Å³/atom


Look up the total magnetization of the first one.
0.996 μB/cell


Repeat the first record exactly.
DFT (PBE-GGA) results for a relaxed LiDyIn crystal.

Calculated values
Its total magnetization is 0.996 μB/cell. As for the volume: 28.7 Å³/atom. For the energy, the calculation gives -9.247 eV for the cell shown.

Lattice parameters (Å, degrees): 4.9557 4.9557 4.9557 60.00 60.00 60.00
Closest atoms and distances in Å follow each position.
Fractional coordinates of all 3 atoms:
1 Li 0.0000 0.0000 0.0000  4 In 3.03
2 Dy 0.5000 0.5000 0.5000  4 In 3.03
3 In 0.7500 0.7500 0.7500  4 Dy 3.03, 4 Li 3.03